[1]
VASP calculation (PBE) on a relaxed structure of La2YHg.

Unit cell a=3.733 b=5.555 c=5.820 alpha=90.00 beta=90.00 gamma=90.00
Space group Pmmm (No. 47)
Inequivalent atoms, fractional coordinates:
La 0.000 0.000 0.000
La 0.500 0.500 0.000
Y 0.000 0.500 0.500
Hg 0.500 0.000 0.500

Summary:
V	120.67	Å³/cell
D(E_F)	1.53	states/eV/atom
size of the total moment	0.000	μB/f.u.
energy of formation	-0.146	eV/atom


[2]
VASP calculation (PBE) on a relaxed structure of LaY2Hg2.

Unit cell a=8.703 b=8.703 c=3.813 alpha=90.00 beta=90.00 gamma=90.00
Space group P4/mbm (No. 127)
Inequivalent atoms, fractional coordinates:
La 0.000 0.000 0.000
Y 0.165 0.335 0.500
Hg 0.132 0.632 0.000

Summary:
V	288.76	Å³/cell
D(E_F)	0.82	states/eV/atom
size of the total moment	0.000	μB/f.u.
energy of formation	-0.383	eV/atom


[3]
VASP calculation (PBE) on a relaxed structure of LaY2Hg.

Unit cell a=4.913 b=4.913 c=4.888 alpha=90.00 beta=90.00 gamma=90.00
Space group P4/mmm (No. 123)
Inequivalent atoms, fractional coordinates:
La 0.000 0.000 0.000
Y 0.000 0.500 0.500
Hg 0.500 0.500 0.000

Summary:
V	117.98	Å³/cell
D(E_F)	1.35	states/eV/atom
size of the total moment	0.575	μB/f.u.
energy of formation	-0.156	eV/atom


> V of number 1 (La2YHg)?

120.67 Å³/cell